A relaxed AcPm7Y12 crystal. Source: Alexandria via LeMat-Bulk, functional GGA-PBE.

Its electronic total energy is -5.52 eV per atom. The crystal system is trigonal. The symmetry is R-3. The energy relative to the lowest polymorph listed for this composition comes out at 0 meV/atom. The calculation puts the formation energy at 446 kJ/mol of formula units.

Unit cell a=8.873 b=8.873 c=8.873 alpha=87.07 beta=87.07 gamma=87.07
Positions (direct):
1 Pm 0.500 0.500 0.500
2 Pm 0.606 0.938 0.843
3 Pm 0.062 0.157 0.394
4 Pm 0.157 0.394 0.062
5 Pm 0.843 0.606 0.938
6 Pm 0.394 0.062 0.157
7 Pm 0.938 0.843 0.606
8 Ac 0.000 0.000 0.000
9 Y 0.622 0.136 0.498
10 Y 0.274 0.146 0.725
11 Y 0.378 0.864 0.502
12 Y 0.498 0.622 0.136
13 Y 0.854 0.275 0.726
14 Y 0.864 0.502 0.378
15 Y 0.146 0.725 0.274
16 Y 0.502 0.378 0.864
17 Y 0.725 0.274 0.146
18 Y 0.726 0.854 0.275
19 Y 0.275 0.726 0.854
20 Y 0.136 0.498 0.622